w.
# TaRe2W (PBE-GGA, optimized geometry)
data_TaRe2W
_symmetry_space_group_name_H-M 'F -4 3 m'
_symmetry_Int_Tables_number 216
_symmetry_space_group_name_Hall 'F -4 2 3'
_cell_length_a 6.3471
_cell_length_b 6.3471
_cell_length_c 6.3471
_cell_angle_alpha 90.00
_cell_angle_beta 90.00
_cell_angle_gamma 90.00
loop_
_atom_site_label
_atom_site_type_symbol
_atom_site_fract_x
_atom_site_fract_y
_atom_site_fract_z
Ta1 Ta 0.0000 0.0000 0.0000
Re1 Re 0.0000 0.0000 0.5000
Re2 Re 0.2500 0.2500 0.2500
W1 W 0.2500 0.2500 0.7500
# Fermi-level density of states = 12.1 states/eV/cell
# Size of the total moment = 0.00 μB/f.u.

x.
# TaRe2W (PBE-GGA, optimized geometry)
data_TaRe2W
_symmetry_space_group_name_H-M 'C m m m'
_symmetry_Int_Tables_number 65
_symmetry_space_group_name_Hall '-C 2 2'
_cell_length_a 3.1603
_cell_length_b 4.5344
_cell_length_c 8.9234
_cell_angle_alpha 90.00
_cell_angle_beta 90.00
_cell_angle_gamma 90.00
loop_
_atom_site_label
_atom_site_type_symbol
_atom_site_fract_x
_atom_site_fract_y
_atom_site_fract_z
Ta1 Ta 0.0000 0.0000 0.0000
Re1 Re 0.0000 0.5000 0.2530
W1 W 0.0000 0.0000 0.5000
# Fermi-level density of states = 7.1 states/eV/cell
# Size of the total moment = 0.00 μB/f.u.

y.
# TaRe2W (PBE-GGA, optimized geometry)
data_TaRe2W
_symmetry_space_group_name_H-M 'P 4/m m m'
_symmetry_Int_Tables_number 123
_symmetry_space_group_name_Hall '-P 4 2'
_cell_length_a 3.1702
_cell_length_b 3.1702
_cell_length_c 6.3618
_cell_angle_alpha 90.00
_cell_angle_beta 90.00
_cell_angle_gamma 90.00
loop_
_atom_site_label
_atom_site_type_symbol
_atom_site_fract_x
_atom_site_fract_y
_atom_site_fract_z
Ta1 Ta 0.0000 0.0000 0.0000
Re1 Re 0.5000 0.5000 0.2525
W1 W 0.0000 0.0000 0.5000
# Fermi-level density of states = 2.5 states/eV/cell
# Size of the total moment = 0.00 μB/f.u.

Stability order, top to bottom: y, w, x

w.
# TaRe2W (PBE-GGA, optimized geometry)
data_TaRe2W
_symmetry_space_group_name_H-M 'P 4 m m'
_symmetry_Int_Tables_number 99
_symmetry_space_group_name_Hall 'P 4 -2'
_cell_length_a 3.1697
_cell_length_b 3.1697
_cell_length_c 6.3876
_cell_angle_alpha 90.00
_cell_angle_beta 90.00
_cell_angle_gamma 90.00
loop_
_atom_site_label
_atom_site_type_symbol
_atom_site_fract_x
_atom_site_fract_y
_atom_site_fract_z
Ta1 Ta 0.0000 0.0000 0.0000
Re1 Re 0.0000 0.0000 0.4985
Re2 Re 0.5000 0.5000 0.7601
W1 W 0.5000 0.5000 0.2653
# Fermi-level density of states = 2.7 states/eV/cell
# Size of the total moment = 0.00 μB/f.u.

x.
# TaRe2W (PBE-GGA, optimized geometry)
data_TaRe2W
_symmetry_space_group_name_H-M 'I m m 2'
_symmetry_Int_Tables_number 44
_symmetry_space_group_name_Hall 'I 2 -2'
_cell_length_a 3.1706
_cell_length_b 4.4696
_cell_length_c 9.0349
_cell_angle_alpha 90.00
_cell_angle_beta 90.00
_cell_angle_gamma 90.00
loop_
_atom_site_label
_atom_site_type_symbol
_atom_site_fract_x
_atom_site_fract_y
_atom_site_fract_z
Ta1 Ta 0.0000 0.0000 0.0000
Re1 Re 0.0000 0.0000 0.4960
Re2 Re 0.0000 0.5000 0.2511
W1 W 0.0000 0.5000 0.7492
# Fermi-level density of states = 4.7 states/eV/cell
# Size of the total moment = 0.00 μB/f.u.

Stability order, top to bottom: x, w

w.
# TaRe2W (PBE-GGA, optimized geometry)
data_TaRe2W
_symmetry_space_group_name_H-M 'R -3 m'
_symmetry_Int_Tables_number 166
_symmetry_space_group_name_Hall '-R 3 2"'
_cell_length_a 2.8374
_cell_length_b 2.8374
_cell_length_c 27.7658
_cell_angle_alpha 90.00
_cell_angle_beta 90.00
_cell_angle_gamma 120.00
loop_
_atom_site_label
_atom_site_type_symbol
_atom_site_fract_x
_atom_site_fract_y
_atom_site_fract_z
Ta1 Ta 0.0000 0.0000 0.0000
Re1 Re 0.0000 0.0000 0.2470
W1 W 0.0000 0.0000 0.5000
# Fermi-level density of states = 11.0 states/eV/cell
# Size of the total moment = 0.00 μB/f.u.

x.
# TaRe2W (PBE-GGA, optimized geometry)
data_TaRe2W
_symmetry_space_group_name_H-M 'P 4/m m m'
_symmetry_Int_Tables_number 123
_symmetry_space_group_name_Hall '-P 4 2'
_cell_length_a 4.4926
_cell_length_b 4.4926
_cell_length_c 3.1671
_cell_angle_alpha 90.00
_cell_angle_beta 90.00
_cell_angle_gamma 90.00
loop_
_atom_site_label
_atom_site_type_symbol
_atom_site_fract_x
_atom_site_fract_y
_atom_site_fract_z
Ta1 Ta 0.0000 0.0000 0.0000
Re1 Re 0.0000 0.5000 0.5000
W1 W 0.5000 0.5000 0.0000
# Fermi-level density of states = 1.9 states/eV/cell
# Size of the total moment = 0.00 μB/f.u.

Stability order, top to bottom: x, w

w.
# Ta4ReW (PBE-GGA, optimized geometry)
data_Ta4ReW
_symmetry_space_group_name_H-M 'P 4/m m m'
_symmetry_Int_Tables_number 123
_symmetry_space_group_name_Hall '-P 4 2'
_cell_length_a 3.2317
_cell_length_b 3.2317
_cell_length_c 9.8802
_cell_angle_alpha 90.00
_cell_angle_beta 90.00
_cell_angle_gamma 90.00
loop_
_atom_site_label
_atom_site_type_symbol
_atom_site_fract_x
_atom_site_fract_y
_atom_site_fract_z
Ta1 Ta 0.0000 0.0000 0.1594
Ta2 Ta 0.5000 0.5000 0.3383
Re1 Re 0.5000 0.5000 0.0000
W1 W 0.0000 0.0000 0.5000
# Fermi-level density of states = 5.0 states/eV/cell
# Size of the total moment = 0.00 μB/f.u.

x.
# Ta4ReW (PBE-GGA, optimized geometry)
data_Ta4ReW
_symmetry_space_group_name_H-M 'F -4 3 m'
_symmetry_Int_Tables_number 216
_symmetry_space_group_name_Hall 'F -4 2 3'
_cell_length_a 7.5387
_cell_length_b 7.5387
_cell_length_c 7.5387
_cell_angle_alpha 90.00
_cell_angle_beta 90.00
_cell_angle_gamma 90.00
loop_
_atom_site_label
_atom_site_type_symbol
_atom_site_fract_x
_atom_site_fract_y
_atom_site_fract_z
Ta1 Ta 0.1250 0.1250 0.1250
Re1 Re 0.0000 0.0000 0.5000
W1 W 0.2500 0.2500 0.7500
# Fermi-level density of states = 24.1 states/eV/cell
# Size of the total moment = 0.00 μB/f.u.

y.
# Ta4ReW (PBE-GGA, optimized geometry)
data_Ta4ReW
_symmetry_space_group_name_H-M 'C m m m'
_symmetry_Int_Tables_number 65
_symmetry_space_group_name_Hall '-C 2 2'
_cell_length_a 7.7485
_cell_length_b 7.8121
_cell_length_c 4.4168
_cell_angle_alpha 90.00
_cell_angle_beta 90.00
_cell_angle_gamma 90.00
loop_
_atom_site_label
_atom_site_type_symbol
_atom_site_fract_x
_atom_site_fract_y
_atom_site_fract_z
Ta1 Ta 0.0000 0.1776 0.0000
Ta2 Ta 0.1816 0.5000 0.5000
Re1 Re 0.0000 0.0000 0.5000
W1 W 0.0000 0.5000 0.0000
# Fermi-level density of states = 13.8 states/eV/cell
# Size of the total moment = 0.00 μB/f.u.

Stability order, top to bottom: w, x, y

w.
# TaReW3 (PBE-GGA, optimized geometry)
data_TaReW3
_symmetry_space_group_name_H-M 'P n n a'
_symmetry_Int_Tables_number 52
_symmetry_space_group_name_Hall '-P 2a 2bc'
_cell_length_a 13.2928
_cell_length_b 5.2162
_cell_length_c 4.8555
_cell_angle_alpha 90.00
_cell_angle_beta 90.00
_cell_angle_gamma 90.00
loop_
_atom_site_label
_atom_site_type_symbol
_atom_site_fract_x
_atom_site_fract_y
_atom_site_fract_z
Ta1 Ta 0.0555 0.2500 0.2500
Re1 Re 0.2500 0.0000 0.1591
W1 W 0.0596 0.7500 0.2500
W2 W 0.1454 0.5008 0.7926
# Fermi-level density of states = 15.9 states/eV/cell
# Size of the total moment = 0.00 μB/f.u.

x.
# TaReW3 (PBE-GGA, optimized geometry)
data_TaReW3
_symmetry_space_group_name_H-M 'P m -3 m'
_symmetry_Int_Tables_number 221
_symmetry_space_group_name_Hall '-P 4 2 3'
_cell_length_a 4.7099
_cell_length_b 4.7099
_cell_length_c 4.7099
_cell_angle_alpha 90.00
_cell_angle_beta 90.00
_cell_angle_gamma 90.00
loop_
_atom_site_label
_atom_site_type_symbol
_atom_site_fract_x
_atom_site_fract_y
_atom_site_fract_z
Ta1 Ta 0.0000 0.0000 0.0000
Re1 Re 0.5000 0.5000 0.5000
W1 W 0.0000 0.5000 0.5000
# Fermi-level density of states = 5.7 states/eV/cell
# Size of the total moment = 0.00 μB/f.u.

y.
# TaReW3 (PBE-GGA, optimized geometry)
data_TaReW3
_symmetry_space_group_name_H-M 'P m -3 m'
_symmetry_Int_Tables_number 221
_symmetry_space_group_name_Hall '-P 4 2 3'
_cell_length_a 4.6811
_cell_length_b 4.6811
_cell_length_c 4.6811
_cell_angle_alpha 90.00
_cell_angle_beta 90.00
_cell_angle_gamma 90.00
loop_
_atom_site_label
_atom_site_type_symbol
_atom_site_fract_x
_atom_site_fract_y
_atom_site_fract_z
Ta1 Ta 0.0000 0.0000 0.0000
Re1 Re 0.5000 0.5000 0.5000
W1 W 0.0000 0.0000 0.5000
# Fermi-level density of states = 4.0 states/eV/cell
# Size of the total moment = 0.02 μB/f.u.

Stability order, top to bottom: w, x, y